(1)
Below is a relaxed Sr2MgCd3In4 crystal, with properties calculated at the PBE level.

## Properties
total DFT energy (no corrections) = -21.45 eV for the cell shown
calculated volume = 28.150 Å³ per atom
energy relative to the elements = -0.2797 eV per atom

Structure (CIF):
```
data_Sr2MgCd3In4
_space_group_name_H-M_alt 'P -4 m 2'
_space_group_IT_number 115
_cell_length_a 4.700
_cell_length_b 4.700
_cell_length_c 12.746
_cell_angle_alpha 90.00
_cell_angle_beta 90.00
_cell_angle_gamma 90.00
loop_
_space_group_symop_operation_xyz
'x,y,z'
'y,-x,-z'
'-x,-y,z'
'-y,x,-z'
'-x,y,z'
'-y,-x,-z'
'x,-y,z'
'y,x,-z'
loop_
_atom_site_label
_atom_site_type_symbol
_atom_site_fract_x
_atom_site_fract_y
_atom_site_fract_z
_atom_site_occupancy
Sr1 Sr 0.000 0.500 0.250 1
Mg1 Mg 0.000 0.000 0.500 1
Cd1 Cd 0.000 0.500 0.858 1
Cd2 Cd 0.500 0.500 0.500 1
In1 In 0.000 0.000 0.000 1
In2 In 0.000 0.500 0.638 1
In3 In 0.500 0.500 0.000 1
```

=====

(2)
Below is a relaxed Mg2TaCr crystal, with properties calculated at the PBE level.

## Properties
total DFT energy (no corrections) = -22.69 eV for the cell shown
calculated volume = 17.178 Å³ per atom
energy relative to the elements = 0.4929 eV per atom

Structure (CIF):
```
data_Mg2TaCr
_space_group_name_H-M_alt 'P m m m'
_space_group_IT_number 47
_cell_length_a 2.743
_cell_length_b 4.631
_cell_length_c 5.410
_cell_angle_alpha 90.00
_cell_angle_beta 90.00
_cell_angle_gamma 90.00
loop_
_space_group_symop_operation_xyz
'x,y,z'
'-x,-y,-z'
'-x,-y,z'
'x,y,-z'
'x,-y,-z'
'-x,y,z'
'-x,y,-z'
'x,-y,z'
loop_
_atom_site_label
_atom_site_type_symbol
_atom_site_fract_x
_atom_site_fract_y
_atom_site_fract_z
_atom_site_occupancy
Mg1 Mg 0.000 0.000 0.244 1
Ta1 Ta 0.500 0.500 0.500 1
Cr1 Cr 0.500 0.500 0.000 1
```

=====

(3)
Below is a relaxed SrPuIrPd crystal, with properties calculated at the PBE level.

## Properties
total DFT energy (no corrections) = -124.50 eV for the cell shown
calculated volume = 22.367 Å³ per atom
energy relative to the elements = -0.2641 eV per atom

Structure (CIF):
```
data_SrPuIrPd
_space_group_name_H-M_alt 'F -4 3 m'
_space_group_IT_number 216
_space_group_name_Hall 'F -4 2 3'
_cell_length_a 7.100
_cell_length_b 7.100
_cell_length_c 7.100
_cell_angle_alpha 90.00
_cell_angle_beta 90.00
_cell_angle_gamma 90.00
loop_
_atom_site_label
_atom_site_type_symbol
_atom_site_fract_x
_atom_site_fract_y
_atom_site_fract_z
_atom_site_occupancy
Sr1 Sr 0.000 0.000 0.000 1
Pu1 Pu 0.000 0.000 0.500 1
Ir1 Ir 0.250 0.250 0.750 1
Pd1 Pd 0.250 0.250 0.250 1
```

=====

(4)
Below is a relaxed K4Bi2O5 crystal, with properties calculated at the PBE level.

## Properties
total DFT energy (no corrections) = -104.32 eV for the cell shown
raw formation energy = -1.383 eV per atom
calculated volume = 21.849 Å³ per atom

Structure (CIF):
```
data_K4Bi2O5
_space_group_name_H-M_alt 'P -1'
_space_group_IT_number 2
_cell_length_a 5.815
_cell_length_b 9.732
_cell_length_c 9.979
_cell_angle_alpha 106.73
_cell_angle_beta 105.20
_cell_angle_gamma 106.54
loop_
_space_group_symop_operation_xyz
'x,y,z'
'-x,-y,-z'
loop_
_atom_site_label
_atom_site_type_symbol
_atom_site_fract_x
_atom_site_fract_y
_atom_site_fract_z
_atom_site_occupancy
K1 K 0.097 0.009 0.184 1
K2 K 0.114 0.702 0.543 1
K3 K 0.129 0.378 0.867 1
K4 K 0.375 0.785 0.951 1
Bi1 Bi 0.365 0.458 0.270 1
Bi2 Bi 0.403 0.116 0.628 1
O1 O 0.152 0.249 0.080 1
O2 O 0.242 0.886 0.391 1
O3 O 0.266 0.540 0.699 1
O4 O 0.374 0.993 0.766 1
O5 O 0.382 0.628 0.170 1
```

=====

(5)
Below is a relaxed BaPmZnO4 crystal, with properties calculated at the PBE level.

## Properties
total DFT energy (no corrections) = -86.62 eV for the cell shown
raw formation energy = -2.218 eV per atom
calculated volume = 16.374 Å³ per atom

Structure (CIF):
```
data_BaPmZnO4
_space_group_name_H-M_alt 'P 1 21/m 1'
_space_group_IT_number 11
_cell_length_a 5.962
_cell_length_b 5.408
_cell_length_c 7.494
_cell_angle_alpha 90.00
_cell_angle_beta 108.44
_cell_angle_gamma 90.00
loop_
_space_group_symop_operation_xyz
'x,y,z'
'-x,-y,-z'
'-x,y+1/2,-z'
'x,-y+1/2,z'
loop_
_atom_site_label
_atom_site_type_symbol
_atom_site_fract_x
_atom_site_fract_y
_atom_site_fract_z
_atom_site_occupancy
Ba1 Ba 0.210 0.250 0.432 1
Pm1 Pm 0.275 0.250 0.945 1
Zn1 Zn 0.255 0.750 0.184 1
O1 O 0.043 0.750 0.925 1
O2 O 0.053 0.750 0.341 1
O3 O 0.497 0.000 0.209 1
```

=====

(6)
Below is a relaxed TbTlCl4 crystal, with properties calculated at the PBE level.

## Properties
total DFT energy (no corrections) = -102.74 eV for the cell shown
raw formation energy = -1.884 eV per atom
calculated volume = 38.621 Å³ per atom

Structure (CIF):
```
data_TbTlCl4
_space_group_name_H-M_alt 'C 1 2/c 1'
_space_group_IT_number 15
_cell_length_a 8.526
_cell_length_b 17.355
_cell_length_c 6.883
_cell_angle_alpha 90.00
_cell_angle_beta 114.49
_cell_angle_gamma 90.00
loop_
_space_group_symop_operation_xyz
'x,y,z'
'-x,-y,-z'
'-x,y,-z+1/2'
'x,-y,z+1/2'
'x+1/2,y+1/2,z'
'-x+1/2,-y+1/2,-z'
'-x+1/2,y+1/2,-z+1/2'
'x+1/2,-y+1/2,z+1/2'
loop_
_atom_site_label
_atom_site_type_symbol
_atom_site_fract_x
_atom_site_fract_y
_atom_site_fract_z
_atom_site_occupancy
Tb1 Tb 0.000 0.068 0.250 1
Tl1 Tl 0.000 0.318 0.250 1
Cl1 Cl 0.186 0.047 0.670 1
Cl2 Cl 0.218 0.172 0.249 1
```

=====

(7)
Below is a relaxed SiRuPt2 crystal, with properties calculated at the PBE level.

## Properties
total DFT energy (no corrections) = -27.46 eV for the cell shown
raw formation energy = -0.170 eV per atom
calculated volume = 14.701 Å³ per atom

Structure (CIF):
```
data_SiRuPt2
_space_group_name_H-M_alt 'P 1 2/m 1'
_space_group_IT_number 10
_cell_length_a 2.866
_cell_length_b 3.953
_cell_length_c 5.343
_cell_angle_alpha 90.00
_cell_angle_beta 103.79
_cell_angle_gamma 90.00
loop_
_space_group_symop_operation_xyz
'x,y,z'
'-x,-y,-z'
'-x,y,-z'
'x,-y,z'
loop_
_atom_site_label
_atom_site_type_symbol
_atom_site_fract_x
_atom_site_fract_y
_atom_site_fract_z
_atom_site_occupancy
Si1 Si 0.000 0.000 0.000 1
Ru1 Ru 0.000 0.000 0.500 1
Pt1 Pt 0.373 0.500 0.238 1
```

=====

(8)
Below is a relaxed Li2AcTl2Pb crystal, with properties calculated at the PBE level.

## Properties
total DFT energy (no corrections) = -18.07 eV for the cell shown
calculated volume = 26.929 Å³ per atom
energy relative to the elements = -0.2822 eV per atom

Structure (CIF):
```
data_Li2AcTl2Pb
_space_group_name_H-M_alt 'P -3 m 1'
_space_group_IT_number 164
_space_group_name_Hall '-P 3 2"'
_cell_length_a 4.9290
_cell_length_b 4.9290
_cell_length_c 7.6790
_cell_angle_alpha 90.00
_cell_angle_beta 90.00
_cell_angle_gamma 120.00
loop_
_atom_site_label
_atom_site_type_symbol
_atom_site_fract_x
_atom_site_fract_y
_atom_site_fract_z
_atom_site_occupancy
Li1 Li 0.3333 0.6667 0.1481 1
Ac1 Ac 0.0000 0.0000 0.5000 1
Tl1 Tl 0.3333 0.6667 0.7447 1
Pb1 Pb 0.0000 0.0000 0.0000 1
```

=====

What is the total DFT energy (no corrections) in the sixth record? -102.74 eV for the cell shown

=====

Among the records above, which one has the lowest total DFT energy (no corrections)? SrPuIrPd